1.
Computed, not measured: BaAcSi2 after structural relaxation at the PBE level of DFT.

The structure in POSCAR format:
```
BaAcSi2
1.0
4.144 0.000 0.000
0.000 6.421 0.000
0.000 0.000 8.993
Ba Ac Si
2 2 4
Cartesian
2.072 2.343 2.900
2.072 4.077 7.396
0.000 0.912 6.133
0.000 5.508 1.637
0.000 4.270 4.723
0.000 2.151 0.227
2.072 5.617 4.229
2.072 0.804 8.725
```

Output
Raw formation energy = -451 meV per atom
Polymorph energy (0 for the lowest one) = 0.000 eV/atom
Total magnetic moment = 0.0 μB/cell
Space-group type = Pmc2_1 (26)

2.
Computed, not measured: BaAc2Si after structural relaxation at the PBE level of DFT.

The structure in POSCAR format:
```
BaAc2Si
1.0
4.429 0.000 0.000
2.215 3.836 0.000
2.215 1.279 11.013
Ac Si Ba
2 1 1
Cartesian
2.215 1.279 1.762
6.644 3.836 9.251
0.000 0.000 0.000
4.429 2.557 5.506
```

Output
Raw formation energy = -168 meV per atom
Polymorph energy (0 for the lowest one) = 0.009 eV/atom
Total magnetic moment = 0.9 μB/cell
Space-group type = R-3m (166)

3.
Computed, not measured: Ba2AcSi6 after structural relaxation at the PBE level of DFT.

The structure in POSCAR format:
```
Ba2AcSi6
1.0
3.636 0.000 1.111
1.293 7.747 2.273
-0.501 -0.504 8.145
Ba Ac Si
2 1 6
Cartesian
1.426 0.998 1.838
3.002 6.244 9.690
2.214 3.621 5.764
1.328 4.079 2.159
3.100 3.163 9.370
3.892 6.808 6.776
-0.111 1.290 6.868
0.903 5.952 3.550
0.536 0.435 4.753
```

Output
Raw formation energy = -89 meV per atom
Total magnetic moment = 0.0 μB/cell
Space-group type = Immm (71)

4.
Computed, not measured: BaAcZn2Si2 after structural relaxation at the PBE level of DFT.

The structure in POSCAR format:
```
BaAcZn2Si2
1.0
-0.379 0.374 -4.304
3.819 -1.068 1.755
-2.311 -9.246 -0.599
Ba Ac Zn Si
1 1 2 2
Cartesian
-1.155 -4.623 -0.300
0.000 0.000 0.000
0.477 -2.278 -2.425
0.651 -7.662 -0.723
-0.747 -7.177 -2.742
1.876 -2.763 -0.405
```

Output
Raw formation energy = -472 meV per atom
Total magnetic moment = 0.0 μB/cell
Space-group type = P-3m1 (164)

5.
Computed, not measured: BaAc2Zn2Si2 after structural relaxation at the PBE level of DFT.

The structure in POSCAR format:
```
BaAc2Zn2Si2
1.0
-4.024 1.359 0.559
-2.601 0.438 -3.376
-6.205 -11.843 0.528
Ba Ac Zn Si
1 2 2 2
Cartesian
0.000 0.000 0.000
-4.760 -7.342 -0.003
-8.071 -2.704 -2.286
-5.191 -1.212 -1.594
-7.640 -8.835 -0.695
-9.842 -8.215 -1.636
-2.989 -1.832 -0.652
```

Output
Raw formation energy = -351 meV per atom
Total magnetic moment = 0.4 μB/cell
Space-group type = R-3m (166)

6.
Computed, not measured: BaAcSm after structural relaxation at the PBE level of DFT.

The structure in POSCAR format:
```
BaAcSm
1.0
-3.583 0.528 1.612
0.617 -3.105 2.387
4.909 6.509 3.905
Ac Ba Sm
1 1 1
Cartesian
2.180 3.323 3.759
0.031 0.047 0.053
-0.269 0.562 4.092
```

Output
Polymorph energy (0 for the lowest one) = 0.039 eV/atom
Total magnetic moment = 0.0 μB/cell
Formation energy = 0.11 eV/atom
Space-group type = I4mm (107)

7.
Computed, not measured: BaAcSm after structural relaxation at the PBE level of DFT.

The structure in POSCAR format:
```
BaAcSm
1.0
-0.704 -3.695 1.254
2.776 2.202 1.779
-6.726 3.410 6.272
Ac Ba Sm
1 1 1
Cartesian
-2.721 2.435 5.648
-0.061 0.031 0.057
-1.872 -0.549 3.601
```

Output
Polymorph energy (0 for the lowest one) = 0.052 eV/atom
Total magnetic moment = 0.0 μB/cell
Formation energy = 0.13 eV/atom
Space-group type = P3m1 (156)

8.
Computed, not measured: BaAc2Sm after structural relaxation at the PBE level of DFT.

The structure in POSCAR format:
```
BaAc2Sm
1.0
-1.572 -1.686 -3.240
2.408 -3.130 0.460
-7.843 -5.087 6.452
Ac Ba Sm
2 1 1
Cartesian
-6.121 -3.970 5.035
-1.722 -1.117 1.417
-3.503 -4.951 1.836
0.418 -2.408 -1.390
```

Output
Polymorph energy (0 for the lowest one) = 0.000 eV/atom
Total magnetic moment = 0.0 μB/cell
Formation energy = 0.06 eV/atom
Space-group type = P4/mmm (123)